[1]
# BiPb2Au (PBE, relaxed)
# Total DFT energy (no corrections)   -3.66 eV/atom
data_BiPb2Au
_cell_length_a 3.456
_cell_length_b 3.456
_cell_length_c 9.406
_cell_angle_alpha 90.00
_cell_angle_beta 90.00
_cell_angle_gamma 90.00
_space_group_name_H-M_alt 'P 1'
_space_group_IT_number 1
_space_group_name_Hall 'P 1'
loop_
_atom_site_label
_atom_site_type_symbol
_atom_site_fract_x
_atom_site_fract_y
_atom_site_fract_z
Bi1 Bi 0.000 0.000 0.000
Pb1 Pb 0.500 0.500 0.291
Pb2 Pb 0.500 0.500 0.709
Au1 Au 0.000 0.000 0.500

[2]
# BiPb12Au7 (PBE, relaxed)
# Total DFT energy (no corrections)   -3.59 eV/atom
data_BiPb12Au7
_cell_length_a 9.036
_cell_length_b 9.036
_cell_length_c 9.036
_cell_angle_alpha 110.67
_cell_angle_beta 110.67
_cell_angle_gamma 110.67
_space_group_name_H-M_alt 'P 1'
_space_group_IT_number 1
_space_group_name_Hall 'P 1'
loop_
_atom_site_label
_atom_site_type_symbol
_atom_site_fract_x
_atom_site_fract_y
_atom_site_fract_z
Bi1 Bi 0.000 0.000 0.000
Pb1 Pb 0.061 0.718 0.179
Pb2 Pb 0.155 0.416 0.583
Pb3 Pb 0.179 0.061 0.718
Pb4 Pb 0.282 0.821 0.939
Pb5 Pb 0.416 0.583 0.155
Pb6 Pb 0.417 0.845 0.584
Pb7 Pb 0.583 0.155 0.416
Pb8 Pb 0.584 0.417 0.845
Pb9 Pb 0.718 0.179 0.061
Pb10 Pb 0.821 0.939 0.282
Pb11 Pb 0.845 0.584 0.417
Pb12 Pb 0.939 0.282 0.821
Au1 Au 0.132 0.423 0.250
Au2 Au 0.250 0.132 0.423
Au3 Au 0.423 0.250 0.132
Au4 Au 0.500 0.500 0.500
Au5 Au 0.577 0.750 0.868
Au6 Au 0.750 0.868 0.577
Au7 Au 0.868 0.577 0.750

[3]
# Bi5Pb12Au3 (PBE, relaxed)
# Total DFT energy (no corrections)   -3.54 eV/atom
data_Bi5Pb12Au3
_cell_length_a 15.599
_cell_length_b 15.599
_cell_length_c 15.599
_cell_angle_alpha 109.47
_cell_angle_beta 109.47
_cell_angle_gamma 109.47
_space_group_name_H-M_alt 'P 1'
_space_group_IT_number 1
_space_group_name_Hall 'P 1'
loop_
_atom_site_label
_atom_site_type_symbol
_atom_site_fract_x
_atom_site_fract_y
_atom_site_fract_z
Bi1 Bi 0.000 0.000 0.000
Bi2 Bi 0.000 0.000 0.500
Bi3 Bi 0.000 0.500 0.000
Bi4 Bi 0.000 0.500 0.500
Bi5 Bi 0.125 0.750 0.875
Bi6 Bi 0.125 0.875 0.250
Bi7 Bi 0.250 0.125 0.875
Bi8 Bi 0.250 0.625 0.375
Bi9 Bi 0.375 0.250 0.625
Bi10 Bi 0.375 0.625 0.750
Bi11 Bi 0.500 0.000 0.000
Bi12 Bi 0.500 0.000 0.500
Bi13 Bi 0.500 0.500 0.000
Bi14 Bi 0.500 0.500 0.500
Bi15 Bi 0.625 0.375 0.250
Bi16 Bi 0.625 0.750 0.375
Bi17 Bi 0.750 0.375 0.625
Bi18 Bi 0.750 0.875 0.125
Bi19 Bi 0.875 0.125 0.750
Bi20 Bi 0.875 0.250 0.125
Pb1 Pb 0.058 0.631 0.389
Pb2 Pb 0.058 0.927 0.669
Pb3 Pb 0.073 0.242 0.131
Pb4 Pb 0.073 0.331 0.942
Pb5 Pb 0.111 0.742 0.669
Pb6 Pb 0.111 0.869 0.442
Pb7 Pb 0.131 0.073 0.242
Pb8 Pb 0.131 0.558 0.889
Pb9 Pb 0.169 0.242 0.611
Pb10 Pb 0.169 0.427 0.558
Pb11 Pb 0.242 0.131 0.073
Pb12 Pb 0.242 0.611 0.169
Pb13 Pb 0.258 0.331 0.889
Pb14 Pb 0.258 0.427 0.369
Pb15 Pb 0.331 0.889 0.258
Pb16 Pb 0.331 0.942 0.073
Pb17 Pb 0.369 0.258 0.427
Pb18 Pb 0.369 0.611 0.942
Pb19 Pb 0.389 0.058 0.631
Pb20 Pb 0.389 0.831 0.758
Pb21 Pb 0.427 0.369 0.258
Pb22 Pb 0.427 0.558 0.169
Pb23 Pb 0.442 0.111 0.869
Pb24 Pb 0.442 0.831 0.573
Pb25 Pb 0.558 0.169 0.427
Pb26 Pb 0.558 0.889 0.131
Pb27 Pb 0.573 0.442 0.831
Pb28 Pb 0.573 0.631 0.742
Pb29 Pb 0.611 0.169 0.242
Pb30 Pb 0.611 0.942 0.369
Pb31 Pb 0.631 0.389 0.058
Pb32 Pb 0.631 0.742 0.573
Pb33 Pb 0.669 0.058 0.927
Pb34 Pb 0.669 0.111 0.742
Pb35 Pb 0.742 0.573 0.631
Pb36 Pb 0.742 0.669 0.111
Pb37 Pb 0.758 0.389 0.831
Pb38 Pb 0.758 0.869 0.927
Pb39 Pb 0.831 0.573 0.442
Pb40 Pb 0.831 0.758 0.389
Pb41 Pb 0.869 0.442 0.111
Pb42 Pb 0.869 0.927 0.758
Pb43 Pb 0.889 0.131 0.558
Pb44 Pb 0.889 0.258 0.331
Pb45 Pb 0.927 0.669 0.058
Pb46 Pb 0.927 0.758 0.869
Pb47 Pb 0.942 0.073 0.331
Pb48 Pb 0.942 0.369 0.611
Au1 Au 0.125 0.250 0.375
Au2 Au 0.125 0.375 0.750
Au3 Au 0.250 0.375 0.125
Au4 Au 0.250 0.875 0.625
Au5 Au 0.375 0.125 0.250
Au6 Au 0.375 0.750 0.125
Au7 Au 0.625 0.250 0.875
Au8 Au 0.625 0.875 0.750
Au9 Au 0.750 0.125 0.375
Au10 Au 0.750 0.625 0.875
Au11 Au 0.875 0.625 0.250
Au12 Au 0.875 0.750 0.625

[4]
# Bi2Pb8Au (PBE, relaxed)
# Energy above the lowest structure with this stoichiometry   70 meV per atom
data_Bi2Pb8Au
_cell_length_a 8.265
_cell_length_b 8.265
_cell_length_c 5.925
_cell_angle_alpha 104.19
_cell_angle_beta 104.19
_cell_angle_gamma 77.50
_space_group_name_H-M_alt 'P 1'
_space_group_IT_number 1
_space_group_name_Hall 'P 1'
loop_
_atom_site_label
_atom_site_type_symbol
_atom_site_fract_x
_atom_site_fract_y
_atom_site_fract_z
Bi1 Bi 0.147 0.147 0.485
Bi2 Bi 0.853 0.853 0.515
Pb1 Pb 0.148 0.687 0.203
Pb2 Pb 0.272 0.272 0.090
Pb3 Pb 0.313 0.852 0.797
Pb4 Pb 0.426 0.426 0.688
Pb5 Pb 0.574 0.574 0.312
Pb6 Pb 0.687 0.148 0.203
Pb7 Pb 0.728 0.728 0.910
Pb8 Pb 0.852 0.313 0.797
Au1 Au 0.000 0.000 0.000

[5]
# BiPb2Au (PBE, relaxed)
# Total DFT energy (no corrections)   -3.64 eV/atom
data_BiPb2Au
_cell_length_a 6.394
_cell_length_b 6.394
_cell_length_c 6.555
_cell_angle_alpha 105.28
_cell_angle_beta 105.28
_cell_angle_gamma 66.37
_space_group_name_H-M_alt 'P 1'
_space_group_IT_number 1
_space_group_name_Hall 'P 1'
loop_
_atom_site_label
_atom_site_type_symbol
_atom_site_fract_x
_atom_site_fract_y
_atom_site_fract_z
Bi1 Bi 0.172 0.828 0.750
Bi2 Bi 0.828 0.172 0.250
Pb1 Pb 0.301 0.319 0.898
Pb2 Pb 0.319 0.301 0.398
Pb3 Pb 0.681 0.699 0.602
Pb4 Pb 0.699 0.681 0.102
Au1 Au 0.245 0.755 0.250
Au2 Au 0.755 0.245 0.750

[6]
# Bi3PbAu (PBE, relaxed)
# Energy above the lowest structure with this stoichiometry   372 meV per atom
data_Bi3PbAu
_cell_length_a 5.598
_cell_length_b 5.598
_cell_length_c 5.598
_cell_angle_alpha 90.00
_cell_angle_beta 90.00
_cell_angle_gamma 90.00
_space_group_name_H-M_alt 'P 1'
_space_group_IT_number 1
_space_group_name_Hall 'P 1'
loop_
_atom_site_label
_atom_site_type_symbol
_atom_site_fract_x
_atom_site_fract_y
_atom_site_fract_z
Bi1 Bi 0.000 0.000 0.500
Bi2 Bi 0.000 0.500 0.000
Bi3 Bi 0.500 0.000 0.000
Pb1 Pb 0.500 0.500 0.500
Au1 Au 0.000 0.000 0.000

[7]
# BiPb3Au6 (PBE, relaxed)
# Total DFT energy (no corrections)   -3.47 eV/atom
data_BiPb3Au6
_cell_length_a 8.750
_cell_length_b 8.750
_cell_length_c 8.022
_cell_angle_alpha 90.00
_cell_angle_beta 90.00
_cell_angle_gamma 129.80
_space_group_name_H-M_alt 'P 1'
_space_group_IT_number 1
_space_group_name_Hall 'P 1'
loop_
_atom_site_label
_atom_site_type_symbol
_atom_site_fract_x
_atom_site_fract_y
_atom_site_fract_z
Bi1 Bi 0.230 0.770 0.500
Bi2 Bi 0.770 0.230 0.000
Pb1 Pb 0.111 0.350 0.305
Pb2 Pb 0.350 0.111 0.805
Pb3 Pb 0.452 0.548 0.647
Pb4 Pb 0.548 0.452 0.147
Pb5 Pb 0.650 0.889 0.305
Pb6 Pb 0.889 0.650 0.805
Au1 Au 0.006 0.613 0.165
Au2 Au 0.038 0.962 0.118
Au3 Au 0.148 0.285 0.925
Au4 Au 0.285 0.148 0.425
Au5 Au 0.303 0.697 0.928
Au6 Au 0.387 0.994 0.165
Au7 Au 0.613 0.006 0.665
Au8 Au 0.697 0.303 0.428
Au9 Au 0.715 0.852 0.925
Au10 Au 0.852 0.715 0.425
Au11 Au 0.962 0.038 0.618
Au12 Au 0.994 0.387 0.665

[8]
# BiPb2Au (PBE, relaxed)
# Total DFT energy (no corrections)   -3.63 eV/atom
data_BiPb2Au
_cell_length_a 10.264
_cell_length_b 10.264
_cell_length_c 10.264
_cell_angle_alpha 20.45
_cell_angle_beta 20.45
_cell_angle_gamma 20.45
_space_group_name_H-M_alt 'P 1'
_space_group_IT_number 1
_space_group_name_Hall 'P 1'
loop_
_atom_site_label
_atom_site_type_symbol
_atom_site_fract_x
_atom_site_fract_y
_atom_site_fract_z
Bi1 Bi 0.000 0.000 0.000
Pb1 Pb 0.237 0.237 0.237
Pb2 Pb 0.763 0.763 0.763
Au1 Au 0.500 0.500 0.500

[9]
# Bi2PbAu (PBE, relaxed)
# Total DFT energy (no corrections)   -3.55 eV/atom
data_Bi2PbAu
_cell_length_a 8.203
_cell_length_b 8.203
_cell_length_c 8.203
_cell_angle_alpha 131.00
_cell_angle_beta 131.00
_cell_angle_gamma 71.81
_space_group_name_H-M_alt 'P 1'
_space_group_IT_number 1
_space_group_name_Hall 'P 1'
loop_
_atom_site_label
_atom_site_type_symbol
_atom_site_fract_x
_atom_site_fract_y
_atom_site_fract_z
Bi1 Bi 0.090 0.625 0.965
Bi2 Bi 0.375 0.340 0.465
Bi3 Bi 0.660 0.125 0.035
Bi4 Bi 0.875 0.910 0.535
Pb1 Pb 0.250 0.750 0.500
Pb2 Pb 0.500 0.500 0.000
Au1 Au 0.000 0.000 0.000
Au2 Au 0.750 0.250 0.500

[10]
# BiPb6Au3 (PBE, relaxed)
# Total DFT energy (no corrections)   -3.63 eV/atom
data_BiPb6Au3
_cell_length_a 9.218
_cell_length_b 9.218
_cell_length_c 6.986
_cell_angle_alpha 90.00
_cell_angle_beta 90.00
_cell_angle_gamma 103.66
_space_group_name_H-M_alt 'P 1'
_space_group_IT_number 1
_space_group_name_Hall 'P 1'
loop_
_atom_site_label
_atom_site_type_symbol
_atom_site_fract_x
_atom_site_fract_y
_atom_site_fract_z
Bi1 Bi 0.201 0.799 0.500
Bi2 Bi 0.799 0.201 0.000
Pb1 Pb 0.026 0.974 0.138
Pb2 Pb 0.057 0.462 0.691
Pb3 Pb 0.257 0.743 0.004
Pb4 Pb 0.298 0.354 0.017
Pb5 Pb 0.354 0.298 0.517
Pb6 Pb 0.462 0.057 0.191
Pb7 Pb 0.538 0.943 0.691
Pb8 Pb 0.646 0.702 0.017
Pb9 Pb 0.702 0.646 0.517
Pb10 Pb 0.743 0.257 0.504
Pb11 Pb 0.943 0.538 0.191
Pb12 Pb 0.974 0.026 0.638
Au1 Au 0.060 0.277 0.320
Au2 Au 0.277 0.060 0.820
Au3 Au 0.402 0.598 0.689
Au4 Au 0.598 0.402 0.189
Au5 Au 0.723 0.940 0.320
Au6 Au 0.940 0.723 0.820

[11]
# Bi2Pb3Au2 (PBE, relaxed)
# Total DFT energy (no corrections)   -3.60 eV/atom
data_Bi2Pb3Au2
_cell_length_a 10.468
_cell_length_b 10.468
_cell_length_c 10.468
_cell_angle_alpha 156.17
_cell_angle_beta 153.02
_cell_angle_gamma 36.30
_space_group_name_H-M_alt 'P 1'
_space_group_IT_number 1
_space_group_name_Hall 'P 1'
loop_
_atom_site_label
_atom_site_type_symbol
_atom_site_fract_x
_atom_site_fract_y
_atom_site_fract_z
Bi1 Bi 0.146 0.146 0.000
Bi2 Bi 0.854 0.854 0.000
Pb1 Pb 0.000 0.500 0.500
Pb2 Pb 0.315 0.315 0.000
Pb3 Pb 0.685 0.685 0.000
Au1 Au 0.433 0.933 0.500
Au2 Au 0.567 0.067 0.500

[12]
# BiPbAu (PBE, relaxed)
# Energy above the lowest structure with this stoichiometry   65 meV per atom
data_BiPbAu
_cell_length_a 6.840
_cell_length_b 6.840
_cell_length_c 6.840
_cell_angle_alpha 149.78
_cell_angle_beta 149.78
_cell_angle_gamma 43.27
_space_group_name_H-M_alt 'P 1'
_space_group_IT_number 1
_space_group_name_Hall 'P 1'
loop_
_atom_site_label
_atom_site_type_symbol
_atom_site_fract_x
_atom_site_fract_y
_atom_site_fract_z
Bi1 Bi 0.000 0.000 0.000
Pb1 Pb 0.712 0.712 0.000
Au1 Au 0.357 0.357 0.000

Question: Which formula does entry 2 have?
Answer: BiPb12Au7